Here is an optimized crystal structure of Ce3MgB2Rh9 from Alexandria via LeMat-Bulk. Energies are from GGA-PBE.

Values from the calculation:
Calculated total energy = -7.17 eV/atom
Formation energy from the elements = -0.571 eV per atom
Calculated volume = 16.70 A^3/atom
Space-group type = P-3m1 (164)
Crystal system = trigonal

abc: 5.902 5.902 8.304
angles: 90.00 90.00 120.00
Element x y z (fractional)
Ce: 0.000 0.000 0.000
Ce: 0.333 0.667 0.659
Ce: 0.667 0.333 0.341
Mg: 0.000 0.000 0.500
B: 0.333 0.667 0.148
B: 0.667 0.333 0.852
Rh: 0.000 0.500 0.000
Rh: 0.169 0.339 0.289
Rh: 0.169 0.831 0.289
Rh: 0.339 0.169 0.711
Rh: 0.500 0.000 0.000
Rh: 0.500 0.500 0.000
Rh: 0.661 0.831 0.289
Rh: 0.831 0.169 0.711
Rh: 0.831 0.661 0.711